[1]
VASP calculation (GGA-PBEsol) on a relaxed CdBiClO2 crystal.

Properties
Uncorrected energy: -47.97 eV/cell
Formation energy from raw total energies: -1.20 eV/atom

a = 4.177 Å, b = 6.064 Å, c = 7.541 Å
α = 99.66°, β = 90.00°, γ = 90.00°
Sites, in units of the cell vectors:
1 Cl 0.750 0.464 0.193
2 Cl 0.250 0.536 0.807
3 Bi 0.750 0.806 0.598
4 Bi 0.250 0.194 0.402
5 O 0.750 0.012 0.855
6 O 0.250 0.988 0.145
7 O 0.250 0.952 0.593
8 O 0.750 0.048 0.407
9 Cd 0.250 0.156 0.900
10 Cd 0.750 0.844 0.100


[2]
VASP calculation (GGA-PBEsol) on a relaxed CdBi12Cl14O12 crystal.

Properties
Uncorrected energy: -192.99 eV/cell
Formation energy from raw total energies: -1.26 eV/atom

a = 5.463 Å, b = 5.463 Å, c = 25.218 Å
α = 83.78°, β = 90.00°, γ = 90.00°
Sites, in units of the cell vectors:
1 Cd 0.500 0.000 0.000
2 Bi 0.000 0.775 0.449
3 Bi 0.500 0.275 0.449
4 Bi 0.500 0.725 0.551
5 Bi 0.000 0.225 0.551
6 Bi 0.000 0.923 0.155
7 Bi 0.500 0.423 0.155
8 Bi 0.500 0.577 0.845
9 Bi 0.000 0.077 0.845
10 Bi 0.000 0.628 0.745
11 Bi 0.500 0.128 0.743
12 Bi 0.500 0.872 0.257
13 Bi 0.000 0.372 0.255
14 Cl 0.000 0.698 0.603
15 Cl 0.500 0.198 0.603
16 Cl 0.500 0.802 0.397
17 Cl 0.000 0.302 0.397
18 Cl 0.000 0.552 0.896
19 Cl 0.500 0.051 0.897
20 Cl 0.500 0.949 0.103
21 Cl 0.000 0.448 0.104
22 Cl 0.000 0.846 0.309
23 Cl 0.500 0.346 0.309
24 Cl 0.500 0.654 0.691
25 Cl 0.000 0.154 0.691
26 Cl 0.500 0.500 0.000
27 Cl 0.000 0.000 0.000
28 O 0.252 0.146 0.205
29 O 0.748 0.649 0.205
30 O 0.252 0.649 0.205
31 O 0.748 0.146 0.205
32 O 0.252 0.351 0.795
33 O 0.748 0.854 0.795
34 O 0.252 0.854 0.795
35 O 0.748 0.351 0.795
36 O 0.250 0.000 0.500
37 O 0.750 0.500 0.500
38 O 0.250 0.500 0.500
39 O 0.750 0.000 0.500


[3]
VASP calculation (GGA-PBEsol) on a relaxed Cd3CoBi crystal.

Properties
DFT formation energy: 6.63 eV/f.u.
Uncorrected energy: -8.98 eV/cell

a = 5.677 Å, b = 5.677 Å, c = 5.677 Å
α = 90.00°, β = 90.00°, γ = 90.00°
Site moments in Bohr magnetons follow the coordinates.
Sites, in units of the cell vectors:
1 Co 0.500 0.500 0.500  2.22
2 Bi 0.000 0.000 0.000  0.02
3 Cd 0.000 0.500 0.000  0.00
4 Cd 0.000 0.000 0.500  0.00
5 Cd 0.500 0.000 0.000  0.00


[4]
VASP calculation (GGA-PBEsol) on a relaxed CdInCo2Bi crystal.

Properties
DFT formation energy: 5.76 eV/f.u.
Uncorrected energy: -18.18 eV/cell

a = 4.725 Å, b = 4.725 Å, c = 5.057 Å
α = 90.00°, β = 90.00°, γ = 90.00°
Site moments in Bohr magnetons follow the coordinates.
Sites, in units of the cell vectors:
1 Cd 0.000 0.000 0.500  0.01
2 Co 0.000 0.500 0.000  1.35
3 Co 0.500 0.000 0.000  1.35
4 Bi 0.500 0.500 0.500  -0.09
5 In 0.000 0.000 0.000  -0.09


[5]
VASP calculation (GGA-PBEsol) on a relaxed CdCoSi2Bi crystal.

Properties
Uncorrected energy: -16.61 eV/cell
Formation energy from raw total energies: 1.62 eV/atom

a = 4.817 Å, b = 4.817 Å, c = 5.655 Å
α = 90.00°, β = 90.00°, γ = 90.00°
Site moments in Bohr magnetons follow the coordinates.
Sites, in units of the cell vectors:
1 Si 0.000 0.500 0.000  -0.02
2 Si 0.500 0.000 0.000  -0.02
3 Co 0.500 0.500 0.500  2.02
4 Bi 0.000 0.000 0.500  -0.04
5 Cd 0.000 0.000 0.000  -0.01


[6]
VASP calculation (GGA-PBEsol) on a relaxed CrCd2BiO crystal.

Properties
Uncorrected energy: -23.09 eV/cell
Formation energy from raw total energies: -0.18 eV/atom

a = 3.510 Å, b = 5.509 Å, c = 5.509 Å
α = 90.00°, β = 90.00°, γ = 90.00°
Site moments in Bohr magnetons follow the coordinates.
Sites, in units of the cell vectors:
1 Cr 0.000 0.000 0.000  2.55
2 Bi 0.500 0.500 0.500  0.04
3 O 0.500 0.000 0.000  -0.12
4 Cd 0.000 0.000 0.500  -0.01
5 Cd 0.000 0.500 0.000  -0.01


[7]
VASP calculation (GGA-PBEsol) on a relaxed ZnCrCd2Bi crystal.

Properties
DFT formation energy: 3.83 eV/f.u.
Uncorrected energy: -14.67 eV/cell

a = 4.789 Å, b = 5.109 Å, c = 5.109 Å
α = 90.00°, β = 90.00°, γ = 90.00°
Site moments in Bohr magnetons follow the coordinates.
Sites, in units of the cell vectors:
1 Cr 0.000 0.000 0.000  3.56
2 Zn 0.500 0.000 0.000  0.03
3 Bi 0.500 0.500 0.500  -0.11
4 Cd 0.000 0.000 0.500  0.03
5 Cd 0.000 0.500 0.000  0.03


[8]
VASP calculation (GGA-PBEsol) on a relaxed Cs2CdBi2S5 crystal.

Properties
Uncorrected energy: -165.59 eV/cell
Formation energy from raw total energies: -0.78 eV/atom

a = 4.155 Å, b = 15.769 Å, c = 18.306 Å
α = 90.00°, β = 90.00°, γ = 90.00°
Sites, in units of the cell vectors:
1 Cs 0.250 0.505 0.873
2 Cs 0.250 0.966 0.112
3 Cs 0.750 0.034 0.888
4 Cs 0.750 0.534 0.612
5 Cs 0.750 0.495 0.127
6 Cs 0.750 0.995 0.373
7 Cs 0.250 0.005 0.627
8 Cs 0.250 0.466 0.388
9 Cd 0.750 0.790 0.645
10 Cd 0.250 0.210 0.355
11 Cd 0.250 0.710 0.145
12 Cd 0.750 0.290 0.855
13 Bi 0.750 0.246 0.517
14 Bi 0.250 0.290 0.696
15 Bi 0.750 0.210 0.196
16 Bi 0.750 0.746 0.983
17 Bi 0.250 0.254 0.017
18 Bi 0.750 0.710 0.304
19 Bi 0.250 0.790 0.804
20 Bi 0.250 0.754 0.483
21 S 0.750 0.865 0.523
22 S 0.750 0.365 0.977
23 S 0.250 0.862 0.939
24 S 0.250 0.320 0.148
25 S 0.750 0.138 0.061
26 S 0.250 0.135 0.477
27 S 0.750 0.680 0.852
28 S 0.750 0.800 0.159
29 S 0.250 0.605 0.251
30 S 0.250 0.105 0.249
31 S 0.750 0.395 0.749
32 S 0.250 0.700 0.659
33 S 0.750 0.638 0.439
34 S 0.750 0.895 0.751
35 S 0.250 0.200 0.841
36 S 0.250 0.362 0.561
37 S 0.250 0.820 0.352
38 S 0.750 0.300 0.341
39 S 0.750 0.180 0.648
40 S 0.250 0.635 0.023


Which value of uncorrected energy does entry 7 give? -14.67 eV/cell